w:
DFT (PBE-GGA) results for a geometry-optimized ZrTc3Ru structure.

```
5
Lattice="-2.6700 -1.6162 3.4117 0.1339 -4.2167 -1.8928 3.7728 -0.9942 2.4816" Properties=species:S:1:pos:R:3 pbc="T T T"
Tc -1.3350 -0.8081 1.7059
Tc 1.8864 -0.4971 1.2408
Ru 0.0000 0.0000 0.0000
Zr 0.6183 -3.4135 2.0003
Tc 0.0669 -2.1083 -0.9464
```

Results
Space-group type = No. 221

---

x:
DFT (PBE-GGA) results for a geometry-optimized ZrTc3Ru structure.

```
5
Lattice="-1.0561 -4.3578 -1.2490 4.1868 -0.4459 -1.9843 1.7381 -1.5737 4.0209" Properties=species:S:1:pos:R:3 pbc="T T T"
Tc 0.8691 -0.7869 2.0105
Tc -0.5281 -2.1789 -0.6245
Ru 2.4344 -3.1887 0.3938
Zr 0.0000 0.0000 0.0000
Tc 2.0934 -0.2230 -0.9922
```

Results
Space-group type = No. 221

---

Relative to the most stable structure, the computed energies are w 0; x 1054, all in meV per atom.

---

w:
DFT (PBE-GGA) results for a geometry-optimized ZrTcRu structure.

```
12
Lattice="5.1123 0.0000 0.0000 0.0000 5.3824 0.0000 0.0000 0.0000 7.4146" Properties=species:S:1:pos:R:3 pbc="T T T"
Zr 0.0000 1.3456 6.5107
Ru 2.5562 0.0000 0.0000
Zr 0.0000 4.0368 0.9039
Zr 2.5562 4.0368 2.8034
Ru 2.5562 2.6912 0.0000
Zr 2.5562 1.3456 4.6112
Ru 0.0000 0.0000 3.7073
Ru 0.0000 2.6912 3.7073
Tc 3.8342 1.3456 1.8537
Tc 3.8342 4.0368 5.5610
Tc 1.2781 4.0368 5.5610
Tc 1.2781 1.3456 1.8537
```

Results
Space-group type = No. 74

---

x:
DFT (PBE-GGA) results for a geometry-optimized ZrTcRu structure.

```
12
Lattice="5.2361 0.0000 0.0180 0.0000 4.4294 0.0000 -2.9256 0.0000 8.8256" Properties=species:S:1:pos:R:3 pbc="T T T"
Ru 1.8916 2.2147 7.6589
Tc -1.5176 0.0000 8.6719
Tc 2.3654 2.2147 4.5845
Ru -1.0437 0.0000 5.5974
Ru 0.4191 2.2147 1.1846
Zr 0.7627 0.0000 2.7676
Ru 3.3543 0.0000 3.2462
Zr 3.0107 2.2147 1.6632
Zr -0.7001 2.2147 7.1804
Tc -0.0548 2.2147 4.2591
Zr 1.5479 0.0000 6.0759
Tc 3.8282 0.0000 0.1717
```

Results
Space-group type = No. 12

---

Relative to the most stable structure, the computed energies are w 0; x 233, all in meV per atom.

---

w:
DFT (PBE-GGA) results for a geometry-optimized ZrTcRu structure.

```
6
Lattice="4.5540 -0.0735 0.2910 -2.1845 4.6369 -0.4414 -0.3470 -2.0990 4.9185" Properties=species:S:1:pos:R:3 pbc="T T T"
Ru 0.9789 1.7362 3.8184
Ru 3.3705 0.8381 1.9207
Tc 1.1635 0.0547 0.4856
Tc 0.9898 -0.9946 2.9447
Zr 1.1499 2.6621 1.3490
Zr 3.1994 -0.0881 4.3901
```

Results
Space-group type = No. 12

---

x:
DFT (PBE-GGA) results for a geometry-optimized ZrTcRu structure.

```
6
Lattice="3.2470 0.0000 0.0000 0.0000 4.4699 0.0000 -1.6235 0.0000 6.8817" Properties=species:S:1:pos:R:3 pbc="T T T"
Zr 0.0000 3.3524 1.1832
Ru 0.0000 3.3524 5.7092
Tc 0.0000 1.1175 3.4814
Zr 1.6235 1.1175 5.6985
Tc 1.6235 3.3524 3.4003
Ru 1.6235 1.1175 1.1724
```

Results
Space-group type = No. 63

---

Relative to the most stable structure, the computed energies are w 68; x 0, all in meV per atom.

---

w:
DFT (PBE-GGA) results for a geometry-optimized ZrTcRu structure.

```
6
Lattice="4.5029 0.0000 0.0000 -2.2514 3.8996 0.0000 0.0000 0.0000 5.6671" Properties=species:S:1:pos:R:3 pbc="T T T"
Zr 0.0000 0.0000 4.5984
Tc 0.0000 0.0000 1.8999
Tc 2.2514 1.2999 2.6226
Ru 2.2514 1.2999 5.5755
Zr 0.0000 2.5997 0.9232
Ru 0.0000 2.5997 3.7597
```

Results
Space-group type = No. 156

---

x:
DFT (PBE-GGA) results for a geometry-optimized ZrTcRu structure.

```
3
Lattice="-3.8147 2.0528 0.3272 -2.5625 -0.7124 3.4350 -0.5449 3.1086 2.9855" Properties=species:S:1:pos:R:3 pbc="T T T"
Zr -3.4610 2.2245 3.3738
Ru -1.7305 1.1122 1.6869
Tc 0.0000 0.0000 0.0000
```

Results
Space-group type = No. 216

---

Relative to the most stable structure, the computed energies are w 0; x 494, all in meV per atom.

---

w:
DFT (PBE-GGA) results for a geometry-optimized ZrTcRu structure.

```
3
Lattice="5.2897 -0.0060 -0.0117 3.3059 4.1257 0.0150 -4.2913 -2.0716 2.2900" Properties=species:S:1:pos:R:3 pbc="T T T"
Ru 8.5825 4.1133 0.0034
Tc 2.8788 1.3796 0.0013
Zr 1.4387 0.6749 2.2920
```

Results
Space-group type = No. 107

---

x:
DFT (PBE-GGA) results for a geometry-optimized ZrTcRu structure.

```
12
Lattice="-1.5103 -4.2722 0.5399 7.4119 -1.8955 5.7341 -2.4865 1.3412 3.6574" Properties=species:S:1:pos:R:3 pbc="T T T"
Ru 1.2729 -0.1492 2.3800
Zr 4.0336 -2.8317 8.1604
Tc 1.5387 -2.1937 6.2303
Tc 6.3376 -1.4444 6.2982
Tc 1.8765 -2.6328 3.7011
Ru -0.8085 -1.5935 4.4144
Zr 1.0828 0.2521 5.0234
Tc -1.4121 0.8901 3.0933
Ru 3.6526 -0.4051 7.0115
Zr 3.8427 -0.8064 4.3681
Ru 4.2237 -3.2330 5.5170
Zr -0.6184 -1.9947 1.7710
```

Results
Space-group type = No. 63

---

Relative to the most stable structure, the computed energies are w 31; x 0, all in meV per atom.

---

w:
DFT (PBE-GGA) results for a geometry-optimized ZrTcRu structure.

```
12
Lattice="5.1372 0.0000 -0.0026 0.0000 4.6405 0.0000 -2.2358 0.0000 8.5727" Properties=species:S:1:pos:R:3 pbc="T T T"
Zr 2.6706 0.0000 3.1225
Zr 0.2308 0.0000 5.4476
Ru 3.8667 2.3203 1.8048
Zr 1.3487 2.3203 1.1612
Zr 1.5527 2.3203 7.4088
Ru -0.9653 2.3203 6.7653
Tc 3.7885 0.0000 0.3056
Tc 2.6706 2.3203 4.5919
Ru 2.7488 0.0000 6.0912
Ru 0.1526 0.0000 2.4789
Tc -0.8871 0.0000 8.2645
Tc 0.2308 2.3203 3.9782
```

Results
Space-group type = No. 12

---

x:
DFT (PBE-GGA) results for a geometry-optimized ZrTcRu structure.

```
3
Lattice="4.3558 0.0000 0.0000 2.1779 3.7722 0.0000 2.1779 1.2574 3.5565" Properties=species:S:1:pos:R:3 pbc="T T T"
Tc 4.3558 2.5148 1.7782
Zr 2.1779 1.2574 0.8891
Ru 0.0000 0.0000 0.0000
```

Results
Space-group type = No. 216

---

Relative to the most stable structure, the computed energies are w 0; x 916, all in meV per atom.

---

w:
DFT (PBE-GGA) results for a geometry-optimized ZrTcRu structure.

```
3
Lattice="-4.1663 -1.6255 -0.1205 3.4948 -2.7865 -0.1920 -0.0039 -0.2015 2.8541" Properties=species:S:1:pos:R:3 pbc="T T T"
Ru -0.0039 -0.1993 2.8223
Tc -1.6140 -2.0825 0.8472
Zr 0.9385 -2.5333 1.7262
```

Results
Space-group type = No. 156

---

x:
DFT (PBE-GGA) results for a geometry-optimized ZrTcRu structure.

```
12
Lattice="4.5265 0.0000 0.0000 0.0000 7.3058 0.0000 0.0000 0.0000 6.3901" Properties=species:S:1:pos:R:3 pbc="T T T"
Tc 1.1316 3.0467 4.9283
Tc 3.3949 4.2591 4.9283
Ru 1.1316 0.6334 5.6966
Ru 1.1316 3.0195 2.5015
Zr 3.3949 1.3540 3.7567
Zr 1.1316 5.0069 0.5616
Tc 3.3949 6.6996 1.7332
Ru 3.3949 4.2863 2.5015
Ru 3.3949 6.6723 5.6966
Zr 3.3949 2.2989 0.5616
Zr 1.1316 5.9518 3.7567
Tc 1.1316 0.6062 1.7332
```

Results
Space-group type = No. 46

---

Relative to the most stable structure, the computed energies are w 180; x 0, all in meV per atom.

---

w:
DFT (PBE-GGA) results for a geometry-optimized Zr4TcRu structure.

```
6
Lattice="3.3525 -2.7252 -3.4706 2.3446 -4.7655 1.5824 -1.6484 -4.7838 -2.2605" Properties=species:S:1:pos:R:3 pbc="T T T"
Tc 0.0000 0.0000 0.0000
Zr 3.1941 -5.9656 -3.2906
Zr 1.5185 -4.6035 -1.5560
Zr 0.6946 -6.9945 -2.6858
Zr 2.6903 -6.9854 -0.7651
Ru 3.0366 -9.2059 -3.1115
```

Results
Space-group type = No. 216

---

x:
DFT (PBE-GGA) results for a geometry-optimized Zr4TcRu structure.

```
6
Lattice="-1.1868 -2.4211 -1.9397 2.5220 -1.9624 0.9064 -5.7414 -3.6512 8.0699" Properties=species:S:1:pos:R:3 pbc="T T T"
Zr -4.2105 -5.2936 6.3397
Zr -2.0022 -1.2737 2.8143
Tc 0.0000 0.0000 0.0000
Zr -0.1958 -2.7412 0.6969
Zr -2.4040 -6.7611 4.2223
Ru -2.2031 -4.0174 3.5183
```

Results
Space-group type = No. 123

---

y:
DFT (PBE-GGA) results for a geometry-optimized Zr4TcRu structure.

```
6
Lattice="-2.6380 3.6892 -0.4085 0.2799 -0.3024 -4.5382 -5.2294 -3.7407 -0.0822" Properties=species:S:1:pos:R:3 pbc="T T T"
Zr -1.1600 -1.0731 -2.2754
Tc -6.4029 -2.0348 -2.5437
Zr -3.7787 -2.9450 -2.3210
Ru -2.3292 -2.1602 -4.5674
Zr -2.3388 0.6201 -4.7492
Zr -4.9578 -1.2512 -4.7940
```

Results
Space-group type = No. 12

---

Relative to the most stable structure, the computed energies are w 1019; x 0; y 241, all in meV per atom.